[1]
Computed, not measured: a relaxed Pr2Sn3Rh4Pb crystal at the PBE level of DFT.

Values from the calculation:
**Final energy**: -60.92 eV for the cell shown

The structure in CIF format:
```
data_Pr2Sn3Rh4Pb
_chemical_formula_sum 'Pr2 Sn3 Rh4 Pb1'
_cell_length_a 4.5486
_cell_length_b 4.5486
_cell_length_c 10.7715
_cell_angle_alpha 90.00
_cell_angle_beta 90.00
_cell_angle_gamma 90.00
_symmetry_space_group_name_H-M 'P -4 m 2'
_symmetry_Int_Tables_number 115
_symmetry_space_group_name_Hall 'P -4 -2'
loop_
_atom_site_label
_atom_site_type_symbol
_atom_site_fract_x
_atom_site_fract_y
_atom_site_fract_z
_atom_site_occupancy
Pr1 Pr 0.0000 0.5000 0.2458 1
Sn1 Sn 0.0000 0.5000 0.8734 1
Sn2 Sn 0.5000 0.5000 0.5000 1
Rh1 Rh 0.0000 0.0000 0.0000 1
Rh2 Rh 0.0000 0.5000 0.6351 1
Rh3 Rh 0.5000 0.5000 0.0000 1
Pb1 Pb 0.0000 0.0000 0.5000 1
```

[2]
Computed, not measured: a relaxed Pr2Sn2Rh5Pb crystal at the PBE level of DFT.

Values from the calculation:
**Final energy**: -125.39 eV for the cell shown

The structure in CIF format:
```
data_Pr2Sn2Rh5Pb
_chemical_formula_sum 'Pr4 Sn4 Rh10 Pb2'
_cell_length_a 10.3956
_cell_length_b 10.3956
_cell_length_c 3.7989
_cell_angle_alpha 90.00
_cell_angle_beta 90.00
_cell_angle_gamma 90.00
_symmetry_space_group_name_H-M 'P 4/m b m'
_symmetry_Int_Tables_number 127
_symmetry_space_group_name_Hall '-P 4 2ab'
loop_
_atom_site_label
_atom_site_type_symbol
_atom_site_fract_x
_atom_site_fract_y
_atom_site_fract_z
_atom_site_occupancy
Pr1 Pr 0.1744 0.3256 0.0000 1
Sn1 Sn 0.1236 0.6236 0.0000 1
Rh1 Rh 0.0000 0.5000 0.5000 1
Rh2 Rh 0.0632 0.7916 0.5000 1
Pb1 Pb 0.0000 0.0000 0.0000 1
```

[3]
Computed, not measured: a relaxed TbPrRhPb crystal at the PBE level of DFT.

Values from the calculation:
**Final energy**: -89.10 eV for the cell shown

The structure in CIF format:
```
data_TbPrRhPb
_chemical_formula_sum 'Tb4 Pr4 Rh4 Pb4'
_cell_length_a 7.4468
_cell_length_b 7.4468
_cell_length_c 7.4468
_cell_angle_alpha 90.00
_cell_angle_beta 90.00
_cell_angle_gamma 90.00
_symmetry_space_group_name_H-M 'F -4 3 m'
_symmetry_Int_Tables_number 216
_symmetry_space_group_name_Hall 'F -4 2 3'
loop_
_atom_site_label
_atom_site_type_symbol
_atom_site_fract_x
_atom_site_fract_y
_atom_site_fract_z
_atom_site_occupancy
Tb1 Tb 0.0000 0.0000 0.0000 1
Pr1 Pr 0.0000 0.0000 0.5000 1
Rh1 Rh 0.2500 0.2500 0.7500 1
Pb1 Pb 0.2500 0.2500 0.2500 1
```

[4]
Computed, not measured: a relaxed Pr12RuPb6 crystal at the PBE level of DFT.

Values from the calculation:
**Final energy**: -284.87 eV for the cell shown

The structure in CIF format:
```
data_Pr12RuPb6
_chemical_formula_sum 'Pr36 Ru3 Pb18'
_cell_length_a 12.6104
_cell_length_b 12.6104
_cell_length_c 14.6131
_cell_angle_alpha 90.00
_cell_angle_beta 90.00
_cell_angle_gamma 120.00
_symmetry_space_group_name_H-M 'R -3'
_symmetry_Int_Tables_number 148
_symmetry_space_group_name_Hall '-R 3'
loop_
_atom_site_label
_atom_site_type_symbol
_atom_site_fract_x
_atom_site_fract_y
_atom_site_fract_z
_atom_site_occupancy
Pr1 Pr 0.0295 0.8382 0.3904 1
Pr2 Pr 0.0352 0.1931 0.8861 1
Ru1 Ru 0.0000 0.0000 0.0000 1
Pb1 Pb 0.0069 0.6163 0.2539 1
```

[5]
Computed, not measured: a relaxed Pr6Ru2Pb crystal at the PBE level of DFT.

Values from the calculation:
**Final energy**: -213.54 eV for the cell shown

The structure in CIF format:
```
data_Pr6Ru2Pb
_chemical_formula_sum 'Pr24 Ru8 Pb4'
_cell_length_a 9.8165
_cell_length_b 10.1087
_cell_length_c 10.7654
_cell_angle_alpha 90.00
_cell_angle_beta 90.00
_cell_angle_gamma 90.00
_symmetry_space_group_name_H-M 'I m m m'
_symmetry_Int_Tables_number 71
_symmetry_space_group_name_Hall '-I 2 2'
loop_
_atom_site_label
_atom_site_type_symbol
_atom_site_fract_x
_atom_site_fract_y
_atom_site_fract_z
_atom_site_occupancy
Pr1 Pr 0.0000 0.2075 0.2367 1
Pr2 Pr 0.1863 0.5000 0.1715 1
Pr3 Pr 0.2128 0.3171 0.5000 1
Ru1 Ru 0.0000 0.3266 0.0000 1
Ru2 Ru 0.0000 0.5000 0.3762 1
Pb1 Pb 0.0000 0.0000 0.0000 1
Pb2 Pb 0.0000 0.0000 0.5000 1
```

[6]
Computed, not measured: a relaxed Pr8RuPb2 crystal at the PBE level of DFT.

Values from the calculation:
**Final energy**: -115.46 eV for the cell shown

The structure in CIF format:
```
data_Pr8RuPb2
_chemical_formula_sum 'Pr16 Ru2 Pb4'
_cell_length_a 19.7988
_cell_length_b 4.9764
_cell_length_c 7.3618
_cell_angle_alpha 90.00
_cell_angle_beta 100.23
_cell_angle_gamma 90.00
_symmetry_space_group_name_H-M 'C 1 2/m 1'
_symmetry_Int_Tables_number 12
_symmetry_space_group_name_Hall '-C 2y'
loop_
_atom_site_label
_atom_site_type_symbol
_atom_site_fract_x
_atom_site_fract_y
_atom_site_fract_z
_atom_site_occupancy
Pr1 Pr 0.0079 0.0000 0.2779 1
Pr2 Pr 0.0927 0.5000 0.9977 1
Pr3 Pr 0.1412 0.5000 0.5228 1
Pr4 Pr 0.2167 0.0000 0.8375 1
Ru1 Ru 0.0000 0.5000 0.5000 1
Pb1 Pb 0.1813 0.0000 0.2712 1
```

[7]
Computed, not measured: a relaxed Pr7Ru2Pb crystal at the PBE level of DFT.

Values from the calculation:
**Final energy**: -112.67 eV for the cell shown

The structure in CIF format:
```
data_Pr7Ru2Pb
_chemical_formula_sum 'Pr14 Ru4 Pb2'
_cell_length_a 9.3325
_cell_length_b 14.0839
_cell_length_c 5.3396
_cell_angle_alpha 90.00
_cell_angle_beta 90.00
_cell_angle_gamma 90.00
_symmetry_space_group_name_H-M 'C m m m'
_symmetry_Int_Tables_number 65
_symmetry_space_group_name_Hall '-C 2 2'
loop_
_atom_site_label
_atom_site_type_symbol
_atom_site_fract_x
_atom_site_fract_y
_atom_site_fract_z
_atom_site_occupancy
Pr1 Pr 0.0000 0.0000 0.0000 1
Pr2 Pr 0.0000 0.2214 0.5000 1
Pr3 Pr 0.1851 0.3704 0.0000 1
Ru1 Ru 0.0000 0.1983 0.0000 1
Pb1 Pb 0.0000 0.5000 0.5000 1
```

[8]
Computed, not measured: a relaxed Pr8PbS6 crystal at the PBE level of DFT.

Values from the calculation:
**Final energy**: -90.15 eV for the cell shown
**Formation energy (no corrections)**: -1563 meV/atom

The structure in CIF format:
```
data_Pr8PbS6
_chemical_formula_sum 'Pr8 Pb1 S6'
_cell_length_a 10.7388
_cell_length_b 10.7388
_cell_length_c 4.1498
_cell_angle_alpha 90.00
_cell_angle_beta 90.00
_cell_angle_gamma 120.00
_symmetry_space_group_name_H-M 'P -3'
_symmetry_Int_Tables_number 147
_symmetry_space_group_name_Hall '-P 3'
loop_
_atom_site_label
_atom_site_type_symbol
_atom_site_fract_x
_atom_site_fract_y
_atom_site_fract_z
_atom_site_occupancy
Pr1 Pr 0.0351 0.3406 0.2481 1
Pr2 Pr 0.3333 0.6667 0.7507 1
Pb1 Pb 0.0000 0.0000 0.0000 1
S1 S 0.1376 0.6543 0.2501 1
```

[9]
Computed, not measured: a relaxed Pr6PbS4 crystal at the PBE level of DFT.

Values from the calculation:
**Final energy**: -265.61 eV for the cell shown
**Formation energy (no corrections)**: -1592 meV/atom

The structure in CIF format:
```
data_Pr6PbS4
_chemical_formula_sum 'Pr24 Pb4 S16'
_cell_length_a 4.2042
_cell_length_b 13.6498
_cell_length_c 21.0369
_cell_angle_alpha 90.00
_cell_angle_beta 90.00
_cell_angle_gamma 90.00
_symmetry_space_group_name_H-M 'C m c m'
_symmetry_Int_Tables_number 63
_symmetry_space_group_name_Hall '-C 2c 2'
loop_
_atom_site_label
_atom_site_type_symbol
_atom_site_fract_x
_atom_site_fract_y
_atom_site_fract_z
_atom_site_occupancy
Pr1 Pr 0.0000 0.0000 0.0000 1
Pr2 Pr 0.0000 0.1611 0.2500 1
Pr3 Pr 0.0000 0.2709 0.5828 1
Pr4 Pr 0.0000 0.4624 0.1565 1
Pb1 Pb 0.0000 0.1588 0.7500 1
S1 S 0.0000 0.0965 0.1224 1
S2 S 0.0000 0.3629 0.0393 1
```

[10]
Computed, not measured: a relaxed Pr3PbS6 crystal at the PBE level of DFT.

Values from the calculation:
**Final energy**: -350.39 eV for the cell shown
**Formation energy (no corrections)**: -1559 meV/atom

The structure in CIF format:
```
data_Pr3PbS6
_chemical_formula_sum 'Pr18 Pb6 S36'
_cell_length_a 11.9676
_cell_length_b 11.9676
_cell_length_c 14.1772
_cell_angle_alpha 90.00
_cell_angle_beta 90.00
_cell_angle_gamma 120.00
_symmetry_space_group_name_H-M 'R -3'
_symmetry_Int_Tables_number 148
_symmetry_space_group_name_Hall '-R 3'
loop_
_atom_site_label
_atom_site_type_symbol
_atom_site_fract_x
_atom_site_fract_y
_atom_site_fract_z
_atom_site_occupancy
Pr1 Pr 0.0481 0.2685 0.2072 1
Pb1 Pb 0.0000 0.0000 0.0000 1
Pb2 Pb 0.0000 0.0000 0.5000 1
S1 S 0.0224 0.2274 0.4025 1
S2 S 0.0318 0.1870 0.8774 1
```

[11]
Computed, not measured: a relaxed Pr2PbS4 crystal at the PBE level of DFT.

Values from the calculation:
**Final energy**: -163.86 eV for the cell shown
**Energy above the lowest structure with this stoichiometry**: 0.000 eV per atom
**Formation energy (no corrections)**: -1598 meV/atom

The structure in CIF format:
```
data_Pr2PbS4
_chemical_formula_sum 'Pr8 Pb4 S16'
_cell_length_a 8.7535
_cell_length_b 8.7535
_cell_length_c 8.7322
_cell_angle_alpha 90.00
_cell_angle_beta 90.00
_cell_angle_gamma 90.00
_symmetry_space_group_name_H-M 'I -4 2 d'
_symmetry_Int_Tables_number 122
_symmetry_space_group_name_Hall 'I -4 2bw'
loop_
_atom_site_label
_atom_site_type_symbol
_atom_site_fract_x
_atom_site_fract_y
_atom_site_fract_z
_atom_site_occupancy
Pr1 Pr 0.1337 0.2500 0.1250 1
Pb1 Pb 0.0000 0.0000 0.5000 1
S1 S 0.0754 0.1728 0.8084 1
```

[12]
Computed, not measured: a relaxed PrPb4S5 crystal at the PBE level of DFT.

Values from the calculation:
**Final energy**: -96.74 eV for the cell shown
**Formation energy (no corrections)**: -812 meV/atom

The structure in CIF format:
```
data_PrPb4S5
_chemical_formula_sum 'Pr2 Pb8 S10'
_cell_length_a 9.5397
_cell_length_b 9.5397
_cell_length_c 5.9859
_cell_angle_alpha 90.00
_cell_angle_beta 90.00
_cell_angle_gamma 90.00
_symmetry_space_group_name_H-M 'I 4/m'
_symmetry_Int_Tables_number 87
_symmetry_space_group_name_Hall '-I 4'
loop_
_atom_site_label
_atom_site_type_symbol
_atom_site_fract_x
_atom_site_fract_y
_atom_site_fract_z
_atom_site_occupancy
Pr1 Pr 0.0000 0.0000 0.0000 1
Pb1 Pb 0.1036 0.3025 0.5000 1
S1 S 0.0000 0.0000 0.5000 1
S2 S 0.0999 0.2840 0.0000 1
```

[13]
Computed, not measured: a relaxed PrPb2S3 crystal at the PBE level of DFT.

Values from the calculation:
**Final energy**: -61.26 eV for the cell shown
**Formation energy (no corrections)**: -1009 meV/atom

The structure in CIF format:
```
data_PrPb2S3
_chemical_formula_sum 'Pr2 Pb4 S6'
_cell_length_a 7.6066
_cell_length_b 4.0731
_cell_length_c 11.1918
_cell_angle_alpha 90.00
_cell_angle_beta 104.88
_cell_angle_gamma 90.00
_symmetry_space_group_name_H-M 'P 1 21/m 1'
_symmetry_Int_Tables_number 11
_symmetry_space_group_name_Hall '-P 2yb'
loop_
_atom_site_label
_atom_site_type_symbol
_atom_site_fract_x
_atom_site_fract_y
_atom_site_fract_z
_atom_site_occupancy
Pr1 Pr 0.0134 0.2500 0.3276 1
Pb1 Pb 0.2618 0.2500 0.9963 1
Pb2 Pb 0.4462 0.7500 0.3489 1
S1 S 0.1040 0.7500 0.1690 1
S2 S 0.1937 0.7500 0.4928 1
S3 S 0.3430 0.7500 0.8434 1
```

[14]
Computed, not measured: a relaxed Pr5PbS4 crystal at the PBE level of DFT.

Values from the calculation:
**Final energy**: -121.82 eV for the cell shown
**Formation energy (no corrections)**: -1679 meV/atom

The structure in CIF format:
```
data_Pr5PbS4
_chemical_formula_sum 'Pr10 Pb2 S8'
_cell_length_a 9.4269
_cell_length_b 9.4269
_cell_length_c 5.9798
_cell_angle_alpha 90.00
_cell_angle_beta 90.00
_cell_angle_gamma 90.00
_symmetry_space_group_name_H-M 'I 4/m'
_symmetry_Int_Tables_number 87
_symmetry_space_group_name_Hall '-I 4'
loop_
_atom_site_label
_atom_site_type_symbol
_atom_site_fract_x
_atom_site_fract_y
_atom_site_fract_z
_atom_site_occupancy
Pr1 Pr 0.0000 0.0000 0.0000 1
Pr2 Pr 0.1040 0.6854 0.5000 1
Pb1 Pb 0.0000 0.0000 0.5000 1
S1 S 0.1064 0.7010 0.0000 1
```

[15]
Computed, not measured: a relaxed PrPbS3 crystal at the PBE level of DFT.

Values from the calculation:
**Final energy**: -104.10 eV for the cell shown
**Formation energy (no corrections)**: -1031 meV/atom

The structure in CIF format:
```
data_PrPbS3
_chemical_formula_sum 'Pr4 Pb4 S12'
_cell_length_a 16.9924
_cell_length_b 4.3928
_cell_length_c 7.9302
_cell_angle_alpha 90.00
_cell_angle_beta 94.15
_cell_angle_gamma 90.00
_symmetry_space_group_name_H-M 'C 1 2/m 1'
_symmetry_Int_Tables_number 12
_symmetry_space_group_name_Hall '-C 2y'
loop_
_atom_site_label
_atom_site_type_symbol
_atom_site_fract_x
_atom_site_fract_y
_atom_site_fract_z
_atom_site_occupancy
Pr1 Pr 0.1581 0.0000 0.3519 1
Pb1 Pb 0.1014 0.5000 0.9032 1
S1 S 0.0526 0.5000 0.2426 1
S2 S 0.1760 0.5000 0.5852 1
S3 S 0.1880 0.0000 0.9927 1
```

[16]
Computed, not measured: a relaxed PrPb6S8 crystal at the PBE level of DFT.

Values from the calculation:
**Final energy**: -205.94 eV for the cell shown
**Formation energy (no corrections)**: -573 meV/atom

The structure in CIF format:
```
data_PrPb6S8
_chemical_formula_sum 'Pr3 Pb18 S24'
_cell_length_a 12.0401
_cell_length_b 12.0401
_cell_length_c 10.1451
_cell_angle_alpha 90.00
_cell_angle_beta 90.00
_cell_angle_gamma 120.00
_symmetry_space_group_name_H-M 'R -3'
_symmetry_Int_Tables_number 148
_symmetry_space_group_name_Hall '-R 3'
loop_
_atom_site_label
_atom_site_type_symbol
_atom_site_fract_x
_atom_site_fract_y
_atom_site_fract_z
_atom_site_occupancy
Pr1 Pr 0.0000 0.0000 0.0000 1
Pb1 Pb 0.0082 0.7714 0.6642 1
S1 S 0.0000 0.0000 0.2999 1
S2 S 0.0616 0.5809 0.7786 1
```

[17]
Computed, not measured: a relaxed Pr2PbS4 crystal at the PBE level of DFT.

Values from the calculation:
**Final energy**: -162.96 eV for the cell shown
**Energy above the lowest structure with this stoichiometry**: 0.032 eV per atom
**Formation energy (no corrections)**: -1566 meV/atom

The structure in CIF format:
```
data_Pr2PbS4
_chemical_formula_sum 'Pr8 Pb4 S16'
_cell_length_a 4.1102
_cell_length_b 13.5772
_cell_length_c 13.9295
_cell_angle_alpha 90.00
_cell_angle_beta 90.00
_cell_angle_gamma 90.00
_symmetry_space_group_name_H-M 'C m c m'
_symmetry_Int_Tables_number 63
_symmetry_space_group_name_Hall '-C 2c 2'
loop_
_atom_site_label
_atom_site_type_symbol
_atom_site_fract_x
_atom_site_fract_y
_atom_site_fract_z
_atom_site_occupancy
Pr1 Pr 0.0000 0.1346 0.0702 1
Pb1 Pb 0.0000 0.3907 0.2500 1
S1 S 0.0000 0.0349 0.2500 1
S2 S 0.0000 0.2306 0.6148 1
S3 S 0.0000 0.5000 0.0000 1
```

[18]
Computed, not measured: a relaxed Pr3PbS crystal at the PBE level of DFT.

Values from the calculation:
**Final energy**: -26.62 eV for the cell shown
**Formation energy (no corrections)**: -889 meV/atom

The structure in CIF format:
```
data_Pr3PbS
_chemical_formula_sum 'Pr3 Pb1 S1'
_cell_length_a 5.4417
_cell_length_b 5.4417
_cell_length_c 5.4417
_cell_angle_alpha 90.00
_cell_angle_beta 90.00
_cell_angle_gamma 90.00
_symmetry_space_group_name_H-M 'P m -3 m'
_symmetry_Int_Tables_number 221
_symmetry_space_group_name_Hall '-P 4 2 3'
loop_
_atom_site_label
_atom_site_type_symbol
_atom_site_fract_x
_atom_site_fract_y
_atom_site_fract_z
_atom_site_occupancy
Pr1 Pr 0.0000 0.0000 0.5000 1
Pb1 Pb 0.5000 0.5000 0.5000 1
S1 S 0.0000 0.0000 0.0000 1
```

[19]
Computed, not measured: a relaxed PrSc4PbS8 crystal at the PBE level of DFT.

Values from the calculation:
**Final energy**: -268.90 eV for the cell shown
**Formation energy (no corrections)**: -1629 meV/atom

The structure in CIF format:
```
data_PrSc4PbS8
_chemical_formula_sum 'Pr3 Sc12 Pb3 S24'
_cell_length_a 7.7267
_cell_length_b 7.7267
_cell_length_c 20.1321
_cell_angle_alpha 90.00
_cell_angle_beta 90.00
_cell_angle_gamma 120.00
_symmetry_space_group_name_H-M 'R 3 m'
_symmetry_Int_Tables_number 160
_symmetry_space_group_name_Hall 'R 3 -2"'
loop_
_atom_site_label
_atom_site_type_symbol
_atom_site_fract_x
_atom_site_fract_y
_atom_site_fract_z
_atom_site_occupancy
Pr1 Pr 0.0000 0.0000 0.0000 1
Sc1 Sc 0.0000 0.0000 0.6258 1
Sc2 Sc 0.1672 0.3344 0.8314 1
Pb1 Pb 0.0000 0.0000 0.3671 1
S1 S 0.0000 0.0000 0.2272 1
S2 S 0.0000 0.0000 0.7562 1
S3 S 0.0252 0.5126 0.7625 1
S4 S 0.1694 0.3389 0.5744 1
```